1.
La5Hg after structural relaxation, computed with PBEsol.

abc: 6.063 6.063 5.713
angles: 90.00 90.00 120.00
Fractional positions:
La  0.000  0.689  0.000
La  0.311  0.311  0.000
La  0.333  0.667  0.500
La  0.667  0.333  0.500
La  0.689  0.000  0.000
Hg  0.000  0.000  0.500

Output
- VASP energy: -4.687 eV per atom
- Magnetic moment: 0.001 μB per cell
- Energy of formation: -0.14 eV per atom
- Space group: No. 189



2.
Be2GaOs2 after structural relaxation, computed with PBEsol.

abc: 6.044 6.044 3.035
angles: 90.00 90.00 90.00
Fractional positions:
Be  0.122  0.378  0.000
Be  0.378  0.878  0.000
Be  0.622  0.122  0.000
Be  0.878  0.622  0.000
Ga  0.000  0.000  0.000
Ga  0.500  0.500  0.000
Os  0.172  0.672  0.500
Os  0.328  0.172  0.500
Os  0.672  0.828  0.500
Os  0.828  0.328  0.500

Output
- VASP energy: -7.324 eV per atom
- Magnetic moment: 0.001 μB per cell
- Energy of formation: -0.17 eV per atom
- Space group: No. 127



3.
ZnRe2Pt after structural relaxation, computed with PBEsol.

abc: 4.892 4.892 4.892
angles: 135.27 135.27 65.11
Fractional positions:
Zn  0.000  0.000  0.000
Re  0.250  0.750  0.500
Re  0.750  0.250  0.500
Pt  0.500  0.500  0.000

Output
- VASP energy: -8.704 eV per atom
- Magnetic moment: 0.000 μB per cell
- Energy of formation: 0.10 eV per atom
- Space group: No. 139



4.
TlAgBr3 after structural relaxation, computed with PBEsol.

abc: 5.542 5.542 5.542
angles: 90.00 90.00 90.00
Fractional positions:
Tl  0.000  0.000  0.000
Ag  0.500  0.500  0.500
Br  0.000  0.000  0.500
Br  0.000  0.500  0.000
Br  0.500  0.000  0.000

Output
- VASP energy: -2.302 eV per atom
- Magnetic moment: 0.000 μB per cell
- Formation energy from raw total energies: 0.8 kJ/mol of atoms
- Space group: No. 221



5.
Zn2SiIr after structural relaxation, computed with PBEsol.

abc: 4.537 4.537 2.905
angles: 90.00 90.00 113.99
Fractional positions:
Zn  0.000  0.500  0.000
Zn  0.500  0.000  0.000
Si  0.000  0.000  0.500
Ir  0.500  0.500  0.500

Output
- VASP energy: -4.800 eV per atom
- Magnetic moment: 0.000 μB per cell
- Formation energy from raw total energies: -11.3 kJ/mol of atoms
- Space group: No. 65



6.
LiCd after structural relaxation, computed with PBEsol.

abc: 2.921 4.838 5.214
angles: 90.00 90.00 90.00
Fractional positions:
Li  0.250  0.250  0.097
Li  0.750  0.750  0.903
Cd  0.250  0.750  0.390
Cd  0.750  0.250  0.610

Output
- VASP energy: -1.767 eV per atom
- Magnetic moment: 0.000 μB per cell
- Energy of formation: -0.18 eV per atom
- Space group: No. 59



7.
Na2YAuI after structural relaxation, computed with PBEsol.

abc: 5.246 5.246 6.667
angles: 90.00 90.00 90.00
Fractional positions:
Na  0.000  0.500  0.000
Na  0.500  0.000  0.000
Y  0.000  0.000  0.500
Au  0.500  0.500  0.500
I  0.500  0.500  0.000

Output
- VASP energy: -2.686 eV per atom
- Magnetic moment: 0.800 μB per cell
- Formation energy from raw total energies: 36.4 kJ/mol of atoms
- Space group: No. 123



8.
MnIn after structural relaxation, computed with PBEsol.

abc: 4.743 4.743 4.743
angles: 37.13 37.13 37.13
Fractional positions:
Mn  0.000  0.000  0.000
In  0.500  0.500  0.500

Output
- VASP energy: -5.968 eV per atom
- Magnetic moment: 3.201 μB per cell
- Energy of formation: 0.40 eV per atom
- Space group: No. 166